# LiCdPO4 (PBEsol, optimized geometry)
data_LiCdPO4
_cell_length_a 10.748
_cell_length_b 4.789
_cell_length_c 6.281
_cell_angle_alpha 90.00
_cell_angle_beta 90.00
_cell_angle_gamma 90.00
_symmetry_space_group_name_H-M 'P n a 21'
_symmetry_Int_Tables_number 33
_symmetry_space_group_name_Hall 'P 2c -2n'
loop_
_atom_site_label
_atom_site_fract_x
_atom_site_fract_y
_atom_site_fract_z
_atom_site_occupancy
Li1 0.003 0.015 0.000 1
Cd1 0.218 0.544 0.742 1
P1 0.087 0.603 0.240 1
O1 0.046 0.272 0.741 1
O2 0.090 0.283 0.237 1
O3 0.154 0.733 0.438 1
O4 0.154 0.738 0.044 1
# **DFT total energy**: -6.334 eV/atom
# **Crystal system**: orthorhombic
# **Formation energy without anion corrections**: -2.055 eV per atom
# **Fermi-level density of states**: 0.000 states/eV per atom